Ba2CaNi | GGA-PBEsol | optimized geometry

Results
The calculation puts the magnetization at 0.0 μB per formula unit. The value obtained for the total energy is -12.03 eV per cell. The value obtained for the density of states at the Fermi level is 1.2969 states/eV per atom. For the calculated formation energy, the calculation gives 0.1401 eV/atom.

Cell and atoms, written as extended XYZ:
```
4
Lattice="-3.666 -0.862 -0.495 0.980 -2.818 -2.351 0.444 -6.403 7.858" Properties=species:S:1:pos:R:3 pbc="T T T"
Ba 0.299 -4.316 5.296
Ca -1.343 -1.840 -1.423
Ni -1.121 -5.041 2.506
Ba 0.145 -2.087 2.562
```

***

TaCd2Co | GGA-PBEsol | optimized geometry

Results
The energy above the lowest structure with this stoichiometry comes out at 0.00 eV per formula unit. The calculation puts the magnetization at 0.0 μB per formula unit. The value obtained for the total energy is -21.48 eV per cell. The value obtained for the density of states at the Fermi level is 0.5266 states/eV per atom. For the calculated formation energy, the calculation gives 0.3016 eV/atom.

Cell and atoms, written as extended XYZ:
```
4
Lattice="-0.204 -0.043 3.030 4.250 -2.212 0.255 0.111 5.252 -1.441" Properties=species:S:1:pos:R:3 pbc="T T T"
Cd 4.137 2.958 1.843
Ta 3.027 0.636 0.213
Cd 1.076 2.254 1.627
Co 2.098 -0.982 1.650
```

***

TaPbAu4 | GGA-PBEsol | optimized geometry

Results
The calculation puts the magnetization at 1.7 μB per formula unit. The value obtained for the total energy is -29.81 eV per cell. The value obtained for the density of states at the Fermi level is 0.8819 states/eV per atom. For the calculated formation energy, the calculation gives 0.4067 eV/atom.

Cell and atoms, written as extended XYZ:
```
6
Lattice="5.462 0.000 0.000 2.731 4.730 0.000 2.731 1.577 4.460" Properties=species:S:1:pos:R:3 pbc="T T T"
Au 6.833 2.362 1.670
Au 4.092 2.362 1.670
Au 5.462 3.154 3.909
Ta 0.000 0.000 0.000
Au 5.462 4.736 1.670
Pb 8.193 4.730 3.345
```

***

YPW2 | GGA-PBEsol | optimized geometry

Results
The calculation puts the magnetization at 0.0 μB per formula unit. The value obtained for the total energy is -38.95 eV per cell. The value obtained for the density of states at the Fermi level is 0.6786 states/eV per atom. For the calculated formation energy, the calculation gives 0.3195 eV/atom.

Cell and atoms, written as extended XYZ:
```
4
Lattice="4.562 0.000 0.000 2.281 3.951 0.000 2.281 1.317 3.725" Properties=species:S:1:pos:R:3 pbc="T T T"
P 4.562 2.634 1.863
Y 6.843 3.951 2.794
W 2.281 1.317 0.931
W 0.000 0.000 0.000
```

***

Ni2SnP | GGA-PBEsol | optimized geometry

Results
The calculation puts the magnetization at 0.0 μB per formula unit. The value obtained for the total energy is -96.91 eV per cell. The value obtained for the density of states at the Fermi level is 0.3464 states/eV per atom. For the calculated formation energy, the calculation gives -0.4651 eV/atom.

Cell and atoms, written as extended XYZ:
```
16
Lattice="3.535 0.000 0.000 0.000 5.000 0.000 0.000 0.000 12.901" Properties=species:S:1:pos:R:3 pbc="T T T"
P 0.884 3.543 12.349
Ni 2.651 2.577 5.453
Ni 0.884 0.076 0.998
P 2.651 1.458 0.552
Sn 2.651 3.514 9.092
P 2.651 1.043 7.003
Ni 2.651 2.489 11.425
Ni 0.884 2.511 1.476
Sn 2.651 3.986 2.642
Sn 0.884 1.014 10.260
Ni 0.884 4.989 7.927
Ni 2.651 0.011 4.975
Ni 0.884 2.424 7.449
Ni 2.651 4.924 11.904
Sn 0.884 1.486 3.809
P 0.884 3.958 5.898
```

***

BTeMo2 | GGA-PBEsol | optimized geometry

Results
The calculation puts the magnetization at 0.0 μB per formula unit. The value obtained for the total energy is -31.50 eV per cell. The value obtained for the density of states at the Fermi level is 1.3202 states/eV per atom. The raw formation energy comes out at 62 kJ/mol of atoms.

Cell and atoms, written as extended XYZ:
```
4
Lattice="-2.933 -2.595 1.878 0.308 -4.309 -0.450 1.135 -2.462 3.393" Properties=species:S:1:pos:R:3 pbc="T T T"
Mo -0.373 -2.341 1.205
Mo -1.118 -7.024 3.616
Te -0.745 -4.683 2.410
B 0.000 0.000 0.000
```